This record from Alexandria via LeMat-Bulk describes crystalline Cs3Cu2PbBr8 at its relaxed geometry. The functional is PBE-GGA.

Lattice parameters (Å, degrees): 7.9561 7.9561 10.1597 90.00 90.00 120.00
Element x y z (fractional)
Cs (0.0000, 0.0000, 0.0000)
Cs (0.3333, 0.6667, 0.6379)
Cs (0.6667, 0.3333, 0.3621)
Cu (0.3333, 0.6667, 0.2126)
Cu (0.6667, 0.3333, 0.7874)
Pb (0.0000, 0.0000, 0.5000)
Br (0.1717, 0.3435, 0.3218)
Br (0.1717, 0.8283, 0.3218)
Br (0.3333, 0.6667, 0.9846)
Br (0.3435, 0.1717, 0.6782)
Br (0.6565, 0.8283, 0.3218)
Br (0.6667, 0.3333, 0.0154)
Br (0.8283, 0.1717, 0.6782)
Br (0.8283, 0.6565, 0.6782)

Its uncorrected formation energy is -1.074 eV/atom. For the total moment, the calculation gives 0.04 μB/atom. The space group is P-3m1 (164).